A relaxed As2RhSBr crystal, computed with GGA-PBE.

Summary:
V, A^3/atom: 23.05
Raw formation energy, eV per atom: 0.596

Cell lengths 4.820, 4.820, 4.961 Å; angles 90.00, 90.00, 90.00 degrees
Sites, in units of the cell vectors:
S: 0.500 0.500 0.500
Rh: 0.000 0.000 0.000
As: 0.500 0.000 0.000
As: 0.000 0.500 0.000
Br: 0.000 0.000 0.500